# 1
# Sc2GaB

An optimized crystal structure of Sc2GaB (GGA-PBE, Alexandria via LeMat-Bulk).

Cell: 8.621 8.621 8.621 Å, 23.30 23.30 23.30°
Positions (direct):
Sc  0.882  0.882  0.882
Sc  0.118  0.118  0.118
B  0.500  0.500  0.500
Ga  0.000  0.000  0.000

## Properties
Energy relative to the lowest polymorph listed for this composition (meV/atom): 143.0
Space group: No. 166



# 2
# CrGa2HRh

An optimized crystal structure of CrGa2HRh (GGA-PBE, Alexandria via LeMat-Bulk).

Cell: 4.196 4.196 3.395 Å, 90.00 90.00 90.00°
Last column: magnetic moment on the atom in μB.
Positions (direct):
Cr  0.000  0.000  0.500  2.62
Rh  0.500  0.500  0.500  -0.04
Ga  0.000  0.500  0.000  -0.04
Ga  0.500  0.000  0.000  -0.04
H  0.000  0.000  0.000  -0.01

## Properties
Space group: No. 123



# 3
# GeRhNO2

An optimized crystal structure of GeRhNO2 (GGA-PBE, Alexandria via LeMat-Bulk).

Cell: 4.103 4.103 3.661 Å, 90.00 90.00 90.00°
Positions (direct):
Ge  0.500  0.500  0.500
Rh  0.000  0.000  0.000
O  0.000  0.500  0.000
O  0.500  0.000  0.000
N  0.000  0.000  0.500

## Properties
Space group: No. 123
ΔE_f (raw) (eV per atom): 0.201



# 4
# TlZnAg2

An optimized crystal structure of TlZnAg2 (GGA-PBE, Alexandria via LeMat-Bulk).

Cell: 3.406 3.293 7.731 Å, 64.97 90.00 90.00°
Positions (direct):
Ag  0.000  0.045  0.956
Ag  0.000  0.455  0.544
Tl  0.500  0.250  0.250
Zn  0.500  0.750  0.750

## Properties
Space group: No. 10



# 5
# Sc2MnAl4

An optimized crystal structure of Sc2MnAl4 (GGA-PBE, Alexandria via LeMat-Bulk).

Cell: 4.440 4.440 7.669 Å, 73.17 73.17 90.00°
Positions (direct):
Sc  0.366  0.366  0.267
Sc  0.634  0.634  0.733
Mn  0.000  0.000  0.000
Al  0.168  0.168  0.664
Al  0.832  0.832  0.336
Al  0.000  0.500  0.000
Al  0.500  0.000  0.000

## Properties
Space group: No. 139



# 6
# CsLi2Tl2

An optimized crystal structure of CsLi2Tl2 (GGA-PBE, Alexandria via LeMat-Bulk).

Cell: 5.438 5.438 6.719 Å, 66.13 66.13 90.00°
Positions (direct):
Cs  0.000  0.000  0.000
Tl  0.352  0.352  0.295
Tl  0.648  0.648  0.705
Li  0.750  0.250  0.500
Li  0.250  0.750  0.500

## Properties
Energy relative to the lowest polymorph listed for this composition (meV/atom): 6.6
Space group: No. 139



no.,total magnetic moment (μB per formula unit),uncorrected energy (eV per atom)
1,0.0,-5.57
2,2.7,-5.38
3,0.0,-5.84
4,0.0,-2.25
5,0.0,-5.29
6,0.0,-1.93